1.
Below is TbYLuMg after structural relaxation, with properties calculated at the PBE level.

ΔE_f in kcal/mol of atoms: 0.6

a = 5.475 Å, b = 5.475 Å, c = 5.475 Å
α = 60.00°, β = 60.00°, γ = 60.00°
Fractional coordinates of all 4 atoms:
1 Tb 0.750 0.750 0.750
2 Mg 0.500 0.500 0.500
3 Y 0.250 0.250 0.250
4 Lu 0.000 0.000 0.000

***

2.
Below is BeCuBr after structural relaxation, with properties calculated at the PBE level.

Polymorph energy (0 for the lowest one) in eV per formula unit: 0.072
ΔE_f (raw) in eV/atom: 0.2301

a = 6.266 Å, b = 6.266 Å, c = 6.266 Å
α = 149.81°, β = 154.31°, γ = 40.05°
Fractional coordinates of all 3 atoms:
1 Cu 0.551 0.551 0.000
2 Be 0.132 0.132 0.000
3 Br 0.317 0.317 0.000

***

3.
Below is CrOsSe2 after structural relaxation, with properties calculated at the PBE level.

Polymorph energy (0 for the lowest one) in eV per formula unit: 0.000
ΔE_f (raw) in eV/atom: -0.0707

a = 3.805 Å, b = 3.805 Å, c = 6.268 Å
α = 89.36°, β = 90.00°, γ = 90.00°
Last column: magnetic moment on the atom in μB.
Fractional coordinates of all 4 atoms:
1 Se 0.000 0.870 0.875  -0.09
2 Se 0.500 0.380 0.375  -0.09
3 Os 0.500 0.875 0.625  -0.16
4 Cr 0.000 0.375 0.625  2.18

***

4.
Below is Ac3P2Pt3 after structural relaxation, with properties calculated at the PBE level.

ΔE_f in kcal/mol of atoms: -27.5

a = 4.248 Å, b = 6.149 Å, c = 16.096 Å
α = 90.00°, β = 90.00°, γ = 110.21°
Fractional coordinates of all 16 atoms:
1 Ac 0.131 0.261 0.908
2 Ac 0.592 0.183 0.250
3 Ac 0.869 0.739 0.408
4 Ac 0.869 0.739 0.092
5 Ac 0.408 0.817 0.750
6 Ac 0.131 0.261 0.592
7 P 0.159 0.317 0.111
8 P 0.841 0.683 0.889
9 P 0.159 0.317 0.389
10 P 0.841 0.683 0.611
11 Pt 0.688 0.377 0.750
12 Pt 0.586 0.172 0.442
13 Pt 0.312 0.623 0.250
14 Pt 0.414 0.828 0.942
15 Pt 0.414 0.828 0.558
16 Pt 0.586 0.172 0.058

***

5.
Below is NaIBr3 after structural relaxation, with properties calculated at the PBE level.

Polymorph energy (0 for the lowest one) in eV per formula unit: 0.513
ΔE_f (raw) in eV/atom: -0.5212

a = 12.079 Å, b = 12.079 Å, c = 12.079 Å
α = 109.22°, β = 109.22°, γ = 109.22°
Last column: magnetic moment on the atom in μB.
Fractional coordinates of all 30 atoms:
1 Br 0.644 0.031 0.410  0.29
2 Br 0.744 0.476 0.824  0.08
3 Br 0.195 0.807 0.857  0.08
4 Br 0.824 0.744 0.476  0.08
5 Br 0.590 0.356 0.969  0.29
6 Br 0.031 0.410 0.644  0.29
7 Br 0.805 0.193 0.143  0.08
8 Br 0.857 0.195 0.807  0.08
9 Br 0.410 0.644 0.031  0.29
10 Br 0.356 0.969 0.590  0.29
11 Br 0.807 0.857 0.195  0.08
12 Br 0.256 0.524 0.176  0.08
13 Br 0.969 0.590 0.356  0.29
14 Br 0.143 0.805 0.193  0.08
15 Br 0.176 0.256 0.524  0.08
16 Br 0.476 0.824 0.744  0.08
17 Br 0.524 0.176 0.256  0.08
18 Br 0.193 0.143 0.805  0.08
19 Na 0.618 0.126 0.844  0.00
20 Na 0.874 0.156 0.382  0.00
21 Na 0.126 0.844 0.618  0.00
22 Na 0.844 0.618 0.126  0.00
23 Na 0.156 0.382 0.874  0.00
24 Na 0.382 0.874 0.156  0.00
25 I 0.610 0.813 0.963  0.31
26 I 0.187 0.037 0.390  0.31
27 I 0.963 0.610 0.813  0.31
28 I 0.037 0.390 0.187  0.31
29 I 0.813 0.963 0.610  0.31
30 I 0.390 0.187 0.037  0.31

***

6.
Below is RbMgCrSe3 after structural relaxation, with properties calculated at the PBE level.

ΔE_f (raw) in eV/atom: -0.9306

a = 3.997 Å, b = 8.756 Å, c = 10.247 Å
α = 113.30°, β = 90.00°, γ = 90.00°
Last column: magnetic moment on the atom in μB.
Fractional coordinates of all 12 atoms:
1 Rb 0.750 0.767 0.754  0.00
2 Rb 0.250 0.233 0.246  0.00
3 Cr 0.750 0.332 0.868  3.07
4 Cr 0.250 0.668 0.132  3.07
5 Se 0.750 0.229 0.558  -0.01
6 Se 0.750 0.480 0.131  -0.17
7 Se 0.250 0.137 0.877  -0.06
8 Se 0.750 0.863 0.123  -0.06
9 Se 0.250 0.520 0.869  -0.17
10 Se 0.250 0.771 0.442  -0.01
11 Mg 0.250 0.091 0.621  0.00
12 Mg 0.750 0.909 0.379  0.00

***

Number 1: total energy -0.1572 hartree per atom. Number 2: total energy -0.1079 hartree per atom. Number 3: total energy -0.2582 hartree per atom. Number 4: total energy -0.2334 hartree per atom. Number 5: total energy -0.0771 hartree per atom. Number 6: total energy -0.1729 hartree per atom.